1.
DFT (PBE with a Hubbard U) results for crystalline V2O3F at its relaxed geometry.

Output
M_tot, μB/cell: 30.00
Energy above the lowest structure with this stoichiometry, meV per atom: 3

a b c (Å): 15.0525 6.4115 6.9501
angles (deg): 90.00 90.00 90.00
Space group Amm2 (No. 38)
Inequivalent atoms, fractional coordinates:
V 0.0000 0.0000 0.0000 (multiplicity 2)
V 0.1000 0.0000 0.5492 (multiplicity 4)
V 0.1997 0.0000 0.0985 (multiplicity 4)
V 0.3000 0.0000 0.5491 (multiplicity 4)
V 0.3995 0.0000 0.0020 (multiplicity 4)
V 0.5000 0.0000 0.5529 (multiplicity 2)
O 0.0000 0.0000 0.7442 (multiplicity 2)
O 0.0999 0.1919 0.0492 (multiplicity 8)
O 0.1999 0.0000 0.3543 (multiplicity 4)
O 0.2996 0.1920 0.0498 (multiplicity 8)
O 0.3998 0.0000 0.7450 (multiplicity 4)
O 0.5000 0.1925 0.0433 (multiplicity 4)
F 0.0000 0.0000 0.3509 (multiplicity 2)
F 0.2000 0.0000 0.7474 (multiplicity 4)
F 0.4000 0.0000 0.3503 (multiplicity 4)


2.
DFT (PBE with a Hubbard U) results for crystalline V3O5F at its relaxed geometry.

Output
M_tot, μB/cell: 8.00
Energy above the lowest structure with this stoichiometry, meV per atom: 22

a b c (Å): 4.6098 5.5223 7.6774
angles (deg): 86.17 88.47 87.89
Space group P-1 (No. 2)
Inequivalent atoms, fractional coordinates:
V 0.0000 0.0000 0.0000 (multiplicity 1)
V 0.0134 0.3460 0.6772 (multiplicity 2)
V 0.4647 0.8131 0.6544 (multiplicity 2)
V 0.5000 0.5000 0.0000 (multiplicity 1)
O 0.1898 0.3015 0.8954 (multiplicity 2)
O 0.1994 0.6291 0.5641 (multiplicity 2)
O 0.2943 0.4635 0.2447 (multiplicity 2)
O 0.2955 0.1295 0.5657 (multiplicity 2)
O 0.3154 0.8031 0.8896 (multiplicity 2)
F 0.2044 0.9622 0.2393 (multiplicity 2)


3.
DFT (PBE with a Hubbard U) results for crystalline YVO2F at its relaxed geometry.

Output
M_tot, μB/cell: 2.98
Total DFT energy (no corrections), eV per atom: -7.112

a b c (Å): 4.4005 4.4005 4.2288
angles (deg): 90.00 90.00 90.00
Space group P4/mmm (No. 123)
Inequivalent atoms, fractional coordinates:
Y 0.0000 0.0000 0.0000 (multiplicity 1)
V 0.5000 0.5000 0.5000 (multiplicity 1)
O 0.0000 0.5000 0.0000 (multiplicity 2)
F 0.0000 0.0000 0.5000 (multiplicity 1)


4.
DFT (PBE with a Hubbard U) results for crystalline YVOF2 at its relaxed geometry.

Output
M_tot, μB/cell: 3.99
Energy above the lowest structure with this stoichiometry, meV per atom: 0

a b c (Å): 4.3875 4.3875 4.4375
angles (deg): 90.00 90.00 90.00
Space group P4/mmm (No. 123)
Inequivalent atoms, fractional coordinates:
Y 0.0000 0.0000 0.0000 (multiplicity 1)
V 0.5000 0.5000 0.5000 (multiplicity 1)
O 0.0000 0.0000 0.5000 (multiplicity 1)
F 0.0000 0.5000 0.0000 (multiplicity 2)


5.
DFT (PBE with a Hubbard U) results for crystalline Y2VOF at its relaxed geometry.

Output
M_tot, μB/cell: 0.89
Total DFT energy (no corrections), eV per atom: -6.265

a b c (Å): 4.4624 4.4624 5.4398
angles (deg): 90.00 90.00 90.00
Space group P4/mmm (No. 123)
Inequivalent atoms, fractional coordinates:
Y 0.0000 0.5000 0.0000 (multiplicity 2)
V 0.0000 0.0000 0.5000 (multiplicity 1)
O 0.5000 0.5000 0.0000 (multiplicity 1)
F 0.5000 0.5000 0.5000 (multiplicity 1)


6.
DFT (PBE with a Hubbard U) results for crystalline YVO2F at its relaxed geometry.

Output
M_tot, μB/cell: 2.83
Total DFT energy (no corrections), eV per atom: -7.489

a b c (Å): 4.0370 4.0370 3.8663
angles (deg): 90.00 90.00 90.00
Space group P4/mmm (No. 123)
Inequivalent atoms, fractional coordinates:
Y 0.0000 0.0000 0.0000 (multiplicity 1)
V 0.5000 0.5000 0.5000 (multiplicity 1)
O 0.0000 0.5000 0.5000 (multiplicity 2)
F 0.5000 0.5000 0.0000 (multiplicity 1)


7.
DFT (PBE with a Hubbard U) results for crystalline YVOF2 at its relaxed geometry.

Output
M_tot, μB/cell: 3.70
Energy above the lowest structure with this stoichiometry, meV per atom: 83

a b c (Å): 4.0432 4.0432 4.2184
angles (deg): 90.00 90.00 90.00
Space group P4/mmm (No. 123)
Inequivalent atoms, fractional coordinates:
Y 0.0000 0.0000 0.0000 (multiplicity 1)
V 0.5000 0.5000 0.5000 (multiplicity 1)
O 0.5000 0.5000 0.0000 (multiplicity 1)
F 0.0000 0.5000 0.5000 (multiplicity 2)


8.
DFT (PBE with a Hubbard U) results for crystalline VZnOF2 at its relaxed geometry.

Output
M_tot, μB/cell: 2.28
Energy above the lowest structure with this stoichiometry, meV per atom: 0

a b c (Å): 4.1169 4.1169 3.8073
angles (deg): 90.00 90.00 90.00
Space group P4/mmm (No. 123)
Inequivalent atoms, fractional coordinates:
V 0.0000 0.0000 0.0000 (multiplicity 1)
Zn 0.5000 0.5000 0.5000 (multiplicity 1)
O 0.0000 0.0000 0.5000 (multiplicity 1)
F 0.0000 0.5000 0.0000 (multiplicity 2)